Record 1
Sr3LiHg2 | PBE | optimized geometry

Spin magnetization   0.00 μB/f.u.
Raw total energy   -9.76 eV per cell

abc: 4.0635 4.0635 12.2166
angles: 90.00 90.00 90.00
Positions (direct):
Sr 0.0000 0.0000 0.0000
Sr 0.0000 0.0000 0.3187
Sr 0.0000 0.0000 0.6813
Li 0.5000 0.5000 0.5000
Hg 0.5000 0.5000 0.1692
Hg 0.5000 0.5000 0.8308

---

Record 2
SrLi2TbHg4 | PBE | optimized geometry

Spin magnetization   0.00 μB/f.u.
Raw total energy   -14.67 eV per cell

abc: 9.3299 9.3299 9.3299
angles: 31.60 31.60 31.60
Positions (direct):
Sr 0.0000 0.0000 0.0000
Li 0.2423 0.2423 0.2423
Li 0.7577 0.7577 0.7577
Tb 0.5000 0.5000 0.5000
Hg 0.1268 0.1268 0.1268
Hg 0.3867 0.3867 0.3867
Hg 0.6133 0.6133 0.6133
Hg 0.8732 0.8732 0.8732

---

Record 3
SrLi2TcHg | PBE | optimized geometry

Spin magnetization   1.28 μB/f.u.
Raw total energy   -12.31 eV per cell

abc: 5.0715 5.0715 5.4230
angles: 90.00 90.00 90.00
Positions (direct):
Sr 0.0000 0.0000 0.0000
Li 0.0000 0.5000 0.5000
Li 0.5000 0.0000 0.5000
Tc 0.0000 0.0000 0.5000
Hg 0.5000 0.5000 0.0000

---

Record 4
Sr2LiTlHg6 | PBE | optimized geometry

Spin magnetization   0.00 μB/f.u.
Raw total energy   -12.63 eV per cell

abc: 5.7267 6.0388 8.7958
angles: 97.26 107.16 101.62
Positions (direct):
Sr 0.0530 0.3261 0.1921
Sr 0.9470 0.6739 0.8079
Li 0.5000 0.0000 0.5000
Tl 0.5000 0.5000 0.0000
Hg 0.0445 0.1564 0.6659
Hg 0.3277 0.5803 0.5866
Hg 0.4163 0.9521 0.1607
Hg 0.5837 0.0479 0.8393
Hg 0.6723 0.4197 0.4134
Hg 0.9555 0.8436 0.3341

---

Record 5
SrLi2Tl2Hg2 | PBE | optimized geometry

Spin magnetization   0.00 μB/f.u.
Raw total energy   -12.75 eV per cell

abc: 9.2028 9.2028 9.2028
angles: 30.96 30.96 30.96
Positions (direct):
Sr 0.0000 0.0000 0.0000
Li 0.1416 0.1416 0.1416
Li 0.8584 0.8584 0.8584
Tl 0.2585 0.2585 0.2585
Tl 0.7415 0.7415 0.7415
Hg 0.4431 0.4431 0.4431
Hg 0.5569 0.5569 0.5569

---

Record 6
Sr2LiTl2Hg4 | PBE | optimized geometry

Spin magnetization   0.00 μB/f.u.
Raw total energy   -14.27 eV per cell

abc: 6.9776 6.9776 6.9776
angles: 116.44 116.44 96.29
Positions (direct):
Sr 0.2500 0.7500 0.5000
Sr 0.7500 0.2500 0.5000
Li 0.0000 0.0000 0.0000
Tl 0.2959 0.2959 0.0000
Tl 0.7041 0.7041 0.0000
Hg 0.2551 0.2551 0.5102
Hg 0.2551 0.7449 0.0000
Hg 0.7449 0.2551 0.0000
Hg 0.7449 0.7449 0.4898

---

Record 7
Sr2LiTl6Hg | PBE | optimized geometry

Spin magnetization   0.00 μB/f.u.
Raw total energy   -21.52 eV per cell

abc: 6.2987 7.5657 7.8075
angles: 87.51 67.04 65.66
Positions (direct):
Sr 0.2302 0.2783 0.2621
Sr 0.7698 0.7217 0.7379
Li 0.0000 0.0000 0.0000
Tl 0.1862 0.8253 0.3010
Tl 0.2473 0.5867 0.9224
Tl 0.3105 0.1753 0.7062
Tl 0.6895 0.8247 0.2938
Tl 0.7527 0.4133 0.0776
Tl 0.8138 0.1747 0.6990
Hg 0.5000 0.5000 0.5000

---

Record 8
SrLiTm2Hg4 | PBE | optimized geometry

Spin magnetization   0.00 μB/f.u.
Raw total energy   -17.06 eV per cell

abc: 9.5491 9.5491 9.5491
angles: 31.01 31.01 31.01
Positions (direct):
Sr 0.0000 0.0000 0.0000
Li 0.5000 0.5000 0.5000
Tm 0.2394 0.2394 0.2394
Tm 0.7606 0.7606 0.7606
Hg 0.1272 0.1272 0.1272
Hg 0.3941 0.3941 0.3941
Hg 0.6059 0.6059 0.6059
Hg 0.8728 0.8728 0.8728

---

Record 9
SrLiTmHg | PBE | optimized geometry

Spin magnetization   0.00 μB/f.u.
Raw total energy   -8.97 eV per cell

abc: 5.4105 5.4105 5.4105
angles: 60.00 60.00 60.00
Positions (direct):
Sr 0.0000 0.0000 0.0000
Li 0.2500 0.2500 0.2500
Tm 0.5000 0.5000 0.5000
Hg 0.7500 0.7500 0.7500

---

Record 10
SrLiYHg | PBE | optimized geometry

Spin magnetization   0.00 μB/f.u.
Raw total energy   -11.09 eV per cell

abc: 5.4487 5.4487 5.4487
angles: 60.00 60.00 60.00
Positions (direct):
Sr 0.0000 0.0000 0.0000
Li 0.7500 0.7500 0.7500
Y 0.5000 0.5000 0.5000
Hg 0.2500 0.2500 0.2500

---

Record 11
SrLiY2Hg4 | PBE | optimized geometry

Spin magnetization   0.00 μB/f.u.
Raw total energy   -21.23 eV per cell

abc: 9.5358 9.5358 9.5358
angles: 31.48 31.48 31.48
Positions (direct):
Sr 0.0000 0.0000 0.0000
Li 0.5000 0.5000 0.5000
Y 0.2398 0.2398 0.2398
Y 0.7602 0.7602 0.7602
Hg 0.1261 0.1261 0.1261
Hg 0.3925 0.3925 0.3925
Hg 0.6075 0.6075 0.6075
Hg 0.8739 0.8739 0.8739

---

Record 12
SrLiZnHg2 | PBE | optimized geometry

Energy above the lowest structure with this stoichiometry   0.124 eV/atom
Spin magnetization   0.00 μB/f.u.
Raw total energy   -6.57 eV per cell

abc: 5.0552 5.0552 4.8661
angles: 90.00 90.00 90.00
Positions (direct):
Sr 0.0000 0.0000 0.0000
Li 0.5000 0.5000 0.5000
Zn 0.5000 0.5000 0.0000
Hg 0.0000 0.5000 0.5000
Hg 0.5000 0.0000 0.5000

---

Record 13
SrLiZnHg2 | PBE | optimized geometry

Energy above the lowest structure with this stoichiometry   0.000 eV/atom
Spin magnetization   0.00 μB/f.u.
Raw total energy   -7.19 eV per cell

abc: 7.1287 7.1287 7.1287
angles: 144.15 144.15 51.61
Positions (direct):
Sr 0.0000 0.0000 0.0000
Li 0.7500 0.2500 0.5000
Zn 0.2500 0.7500 0.5000
Hg 0.3815 0.3815 0.0000
Hg 0.6185 0.6185 0.0000

---

Record 14
Sr2Li6ZnHg | PBE | optimized geometry

Spin magnetization   0.00 μB/f.u.
Raw total energy   -34.73 eV per cell

abc: 7.6273 9.8689 6.9858
angles: 90.00 90.00 90.00
Positions (direct):
Sr 0.2500 0.0145 0.2339
Sr 0.2500 0.4855 0.2339
Sr 0.7500 0.5145 0.7661
Sr 0.7500 0.9855 0.7661
Li 0.0470 0.2500 0.8968
Li 0.0596 0.7500 0.5578
Li 0.2500 0.0017 0.7310
Li 0.2500 0.4983 0.7310
Li 0.4404 0.7500 0.5578
Li 0.4530 0.2500 0.8968
Li 0.5470 0.7500 0.1032
Li 0.5596 0.2500 0.4422
Li 0.7500 0.5017 0.2690
Li 0.7500 0.9983 0.2690
Li 0.9404 0.2500 0.4422
Li 0.9530 0.7500 0.1032
Zn 0.2500 0.2500 0.5894
Zn 0.7500 0.7500 0.4106
Hg 0.2500 0.7500 0.8961
Hg 0.7500 0.2500 0.1039

---

Record 15
Sr2LiZnHg2 | PBE | optimized geometry

Spin magnetization   0.00 μB/f.u.
Raw total energy   -18.74 eV per cell

abc: 9.0641 9.0641 9.0641
angles: 137.38 61.91 137.30
Positions (direct):
Sr 0.1660 0.2464 0.4124
Sr 0.3340 0.7464 0.0803
Sr 0.6660 0.2536 0.9197
Sr 0.8340 0.7536 0.5876
Li 0.2500 0.7500 0.5000
Li 0.7500 0.2500 0.5000
Zn 0.2500 0.2500 0.0000
Zn 0.7500 0.7500 0.0000
Hg 0.1068 0.7495 0.8563
Hg 0.3932 0.2495 0.6427
Hg 0.6068 0.7505 0.3573
Hg 0.8932 0.2505 0.1437

---

Record 16
SrLiZn2Hg | PBE | optimized geometry

Spin magnetization   0.00 μB/f.u.
Raw total energy   -6.57 eV per cell

abc: 5.0842 5.0842 5.0714
angles: 90.00 90.00 90.00
Positions (direct):
Sr 0.0000 0.0000 0.0000
Li 0.5000 0.5000 0.0000
Zn 0.0000 0.5000 0.5000
Zn 0.5000 0.0000 0.5000
Hg 0.5000 0.5000 0.5000

---

Record 17
SrLiZn2Hg4 | PBE | optimized geometry

Spin magnetization   0.00 μB/f.u.
Raw total energy   -9.33 eV per cell

abc: 9.6205 9.6205 9.6205
angles: 28.81 28.81 28.81
Positions (direct):
Sr 0.0000 0.0000 0.0000
Li 0.5000 0.5000 0.5000
Zn 0.2385 0.2385 0.2385
Zn 0.7615 0.7615 0.7615
Hg 0.1324 0.1324 0.1324
Hg 0.3967 0.3967 0.3967
Hg 0.6033 0.6033 0.6033
Hg 0.8676 0.8676 0.8676

---

Record 18
Sr2LiZnHg6 | PBE | optimized geometry

Spin magnetization   0.00 μB/f.u.
Raw total energy   -11.04 eV per cell

abc: 7.2920 7.2920 7.2270
angles: 119.25 119.25 91.37
Positions (direct):
Sr 0.2186 0.7814 0.0000
Sr 0.7814 0.2186 0.0000
Li 0.5000 0.5000 0.5000
Zn 0.0000 0.0000 0.5000
Hg 0.2563 0.7437 0.5000
Hg 0.2711 0.2711 0.0126
Hg 0.2976 0.2976 0.5841
Hg 0.7024 0.7024 0.4159
Hg 0.7289 0.7289 0.9874
Hg 0.7437 0.2563 0.5000

---

Record 19
LiTa2Hg | PBE | optimized geometry

Spin magnetization   0.00 μB/f.u.
Raw total energy   -24.65 eV per cell

abc: 5.7639 5.7639 2.8935
angles: 100.28 100.28 124.83
Positions (direct):
Li 0.0000 0.0000 0.0000
Ta 0.0000 0.5000 0.5000
Ta 0.5000 0.0000 0.5000
Hg 0.5000 0.5000 0.0000

---

Record 20
LiTa2Hg | PBE | optimized geometry

Spin magnetization   0.00 μB/f.u.
Raw total energy   -24.20 eV per cell

abc: 2.8176 4.7248 5.4001
angles: 90.00 90.00 90.00
Positions (direct):
Li 0.0000 0.0000 0.0000
Ta 0.5000 0.5000 0.2461
Ta 0.5000 0.5000 0.7539
Hg 0.0000 0.0000 0.5000

---

Record 21
LiTa2Hg | PBE | optimized geometry

Spin magnetization   0.00 μB/f.u.
Raw total energy   -24.85 eV per cell

abc: 3.4411 3.4411 6.1544
angles: 90.00 90.00 90.00
Positions (direct):
Li 0.0000 0.0000 0.0000
Ta 0.0000 0.0000 0.4827
Ta 0.5000 0.5000 0.2716
Hg 0.5000 0.5000 0.7873

---

Record 22
LiTaHg | PBE | optimized geometry

Energy above the lowest structure with this stoichiometry   1.451 eV/atom
Spin magnetization   0.55 μB/f.u.
Raw total energy   -19.26 eV per cell

abc: 3.7917 3.7917 11.1194
angles: 90.00 90.00 120.00
Positions (direct):
Li 0.3333 0.6667 0.2500
Li 0.6667 0.3333 0.7500
Ta 0.0000 0.0000 0.0000
Ta 0.0000 0.0000 0.5000
Hg 0.0000 0.0000 0.2500
Hg 0.0000 0.0000 0.7500

---

Record 23
LiTaHg | PBE | optimized geometry

Energy above the lowest structure with this stoichiometry   0.023 eV/atom
Spin magnetization   0.00 μB/f.u.
Raw total energy   -27.83 eV per cell

abc: 3.0150 3.8337 9.5120
angles: 90.00 90.00 90.00
Positions (direct):
Li 0.0000 0.0000 0.0000
Li 0.0000 0.0000 0.3214
Ta 0.0000 0.0000 0.6516
Ta 0.5000 0.5000 0.5012
Hg 0.5000 0.5000 0.1806
Hg 0.5000 0.5000 0.8467

---

Record 24
LiTa2Hg | PBE | optimized geometry

Spin magnetization   0.00 μB/f.u.
Raw total energy   -24.87 eV per cell

abc: 5.6207 5.6207 5.6207
angles: 145.82 134.47 58.15
Positions (direct):
Li 0.0000 0.0000 0.0000
Ta 0.2473 0.7473 0.5000
Ta 0.7527 0.2527 0.5000
Hg 0.5000 0.5000 0.0000

---

Record 25
LiTaHg | PBE | optimized geometry

Energy above the lowest structure with this stoichiometry   0.092 eV/atom
Spin magnetization   0.00 μB/f.u.
Raw total energy   -54.83 eV per cell

abc: 8.1142 2.8931 9.9282
angles: 90.00 90.00 90.00
Positions (direct):
Li 0.1828 0.2500 0.0946
Li 0.3172 0.7500 0.5946
Li 0.6828 0.2500 0.4054
Li 0.8172 0.7500 0.9054
Ta 0.0656 0.2500 0.3972
Ta 0.4344 0.7500 0.8972
Ta 0.5656 0.2500 0.1028
Ta 0.9344 0.7500 0.6028
Hg 0.1303 0.2500 0.8103
Hg 0.3697 0.7500 0.3103
Hg 0.6303 0.2500 0.6897
Hg 0.8697 0.7500 0.1897

---

Record 26
LiTaHg | PBE | optimized geometry

Energy above the lowest structure with this stoichiometry   0.266 eV/atom
Spin magnetization   0.00 μB/f.u.
Raw total energy   -13.19 eV per cell

abc: 2.9347 2.9347 7.5886
angles: 90.00 90.00 120.00
Positions (direct):
Li 0.0000 0.0000 0.0000
Ta 0.6667 0.3333 0.3392
Hg 0.3333 0.6667 0.6866

---

Results for ΔH_f (0 K): -0.366, -0.416, 0.773, -0.318, -0.271, -0.339, -0.174, -0.414, -0.149, -0.182, -0.437, -0.219, -0.343, -0.094, -0.369, -0.026, -0.247, -0.267, 0.317, 0.430, 0.268, 1.479, 0.052, 0.262, 0.120, 0.294 (in eV per atom, following the order of the records).